# CuHg3Os, optimized geometry, DFT PBE-GGA
data_CuHg3Os
_cell_length_a 4.8966
_cell_length_b 4.8966
_cell_length_c 4.8966
_cell_angle_alpha 90.00
_cell_angle_beta 90.00
_cell_angle_gamma 90.00
_symmetry_space_group_name_H-M 'P 1'
_symmetry_Int_Tables_number 1
loop_
_symmetry_equiv_pos_as_xyz
'x,y,z'
loop_
_atom_site_label
_atom_site_type_symbol
_atom_site_fract_x
_atom_site_fract_y
_atom_site_fract_z
Cu1 Cu 0.0000 0.0000 0.0000
Hg1 Hg 0.0000 0.0000 0.5000
Hg2 Hg 0.0000 0.5000 0.0000
Hg3 Hg 0.5000 0.0000 0.0000
Os1 Os 0.5000 0.5000 0.5000
# Formation enthalpy at 0 K ... 1.35 eV/atom
# Total moment ... 0.59 μB per atom
# Symmetry ... Pm-3m, No. 221
# Energy above the most stable polymorph in this dataset ... 0.97 eV/f.u.

=====

# Li2CoRu, optimized geometry, DFT PBE-GGA
data_Li2CoRu
_cell_length_a 4.0786
_cell_length_b 4.0786
_cell_length_c 4.0786
_cell_angle_alpha 60.00
_cell_angle_beta 60.00
_cell_angle_gamma 60.00
_symmetry_space_group_name_H-M 'P 1'
_symmetry_Int_Tables_number 1
loop_
_symmetry_equiv_pos_as_xyz
'x,y,z'
loop_
_atom_site_label
_atom_site_type_symbol
_atom_site_fract_x
_atom_site_fract_y
_atom_site_fract_z
Li1 Li 0.2500 0.2500 0.2500
Li2 Li 0.7500 0.7500 0.7500
Co1 Co 0.0000 0.0000 0.0000
Ru1 Ru 0.5000 0.5000 0.5000
# Formation enthalpy at 0 K ... 0.51 eV/atom
# Total moment ... 0.77 μB per atom
# Symmetry ... Fm-3m, No. 225
# Energy above the most stable polymorph in this dataset ... 1.56 eV/f.u.